(1)
DFT (PBE) results for a relaxed Y2TaCd crystal.

```
4
Lattice="3.2083 0.0000 0.0000 0.0000 3.2083 0.0000 0.0000 0.0000 9.6639" Properties=species:S:1:pos:R:3 pbc="T T T"
Cd 0.0000 0.0000 5.0366
Ta 1.6042 1.6042 7.1011
Y 0.0000 0.0000 9.3249
Y 1.6042 1.6042 2.6971
```

Results
D(E_F) ... 4.4 states/eV per cell
Total DFT energy (no corrections) ... -6.221 eV per atom
Magnetization ... 0.0 μB/f.u.

(2)
DFT (PBE) results for a relaxed YTaCd4 crystal.

```
6
Lattice="-3.7261 -4.0850 -1.4316 -5.4586 0.4156 1.6284 -4.0614 1.0685 -3.8709" Properties=species:S:1:pos:R:3 pbc="T T T"
Y 0.0000 0.0000 0.0000
Ta -9.9346 -1.9506 -2.7556
Cd -6.8294 -3.0097 -2.0924
Cd -6.9963 -0.4451 -3.3063
Cd -7.6916 -0.7700 -0.5696
Cd -4.9751 -0.9768 -1.3799
```

Results
D(E_F) ... 2.8 states/eV per cell
Total DFT energy (no corrections) ... -3.504 eV per atom
Magnetization ... 2.6 μB/f.u.

(3)
DFT (PBE) results for a relaxed Y2TaCd crystal.

```
4
Lattice="4.7076 0.0000 0.0000 0.0000 4.7088 0.0000 0.0000 0.0000 4.4230" Properties=species:S:1:pos:R:3 pbc="T T T"
Cd 2.3538 0.0000 2.2115
Ta 0.0000 2.3544 2.2115
Y 0.0000 0.0000 0.0000
Y 2.3538 2.3544 0.0000
```

Results
D(E_F) ... 6.7 states/eV per cell
Total DFT energy (no corrections) ... -6.172 eV per atom
Magnetization ... 0.0 μB/f.u.

(4)
DFT (PBE) results for a relaxed YTaCd crystal.

```
3
Lattice="-0.9012 -2.8211 1.2710 2.2062 0.0783 -2.3479 5.6060 0.5913 5.2874" Properties=species:S:1:pos:R:3 pbc="T T T"
Cd 0.0890 0.0094 0.0840
Ta 1.9941 -1.6585 1.8184
Y 4.8280 -0.5024 2.3080
```

Results
D(E_F) ... 1.6 states/eV per cell
Total DFT energy (no corrections) ... -6.122 eV per atom
Magnetization ... 0.0 μB/f.u.

(5)
DFT (PBE) results for a relaxed Y2TaCd crystal.

```
4
Lattice="5.7681 -0.0105 0.0000 2.2602 5.3068 0.0000 -4.0141 -2.6481 3.1851" Properties=species:S:1:pos:R:3 pbc="T T T"
Cd 4.0141 2.6481 0.0000
Ta 2.8840 -0.0053 1.5925
Y 0.0000 0.0000 0.0000
Y 1.1301 2.6534 1.5925
```

Results
D(E_F) ... 6.6 states/eV per cell
Total DFT energy (no corrections) ... -6.165 eV per atom
Magnetization ... 0.0 μB/f.u.

(6)
DFT (PBE) results for a relaxed YTa3Cd crystal.

```
5
Lattice="-3.8287 -1.9260 2.6806 0.2149 -4.2420 -2.7409 3.2937 -1.9620 3.2948" Properties=species:S:1:pos:R:3 pbc="T T T"
Y -0.1600 -4.0650 1.6172
Cd 0.0000 0.0000 0.0000
Ta 0.1075 -2.1210 -1.3705
Ta 1.6469 -0.9810 1.6474
Ta -1.9143 -0.9630 1.3403
```

Results
D(E_F) ... 9.4 states/eV per cell
Total DFT energy (no corrections) ... -6.793 eV per atom
Magnetization ... 0.0 μB/f.u.

(7)
DFT (PBE) results for a relaxed Ta2ZnCd crystal.

```
4
Lattice="-1.1003 1.4594 2.9261 2.0059 -2.1369 1.8201 4.6764 4.1322 -0.3025" Properties=species:S:1:pos:R:3 pbc="T T T"
Cd 3.9042 2.7110 2.1499
Ta 0.1686 0.1489 -0.0109
Ta 1.5657 0.6447 2.3011
Zn 2.2817 2.0162 -0.1476
```

Results
D(E_F) ... 2.7 states/eV per cell
Total DFT energy (no corrections) ... -6.228 eV per atom
Magnetization ... 0.0 μB/f.u.

(8)
DFT (PBE) results for a relaxed Ta2ZnCd crystal.

```
4
Lattice="-1.6346 0.2697 2.3483 -2.3312 -0.6562 -1.5474 1.1573 -8.2435 1.7522" Properties=species:S:1:pos:R:3 pbc="T T T"
Cd -1.1149 -6.3759 1.7146
Ta 0.0269 -0.1913 0.0407
Ta 0.5518 -3.9304 0.8354
Zn -1.6936 -2.2541 0.8385
```

Results
D(E_F) ... 1.5 states/eV per cell
Total DFT energy (no corrections) ... -6.321 eV per atom
Magnetization ... 0.0 μB/f.u.

(9)
DFT (PBE) results for a relaxed Ta2ZnCd crystal.

```
4
Lattice="0.0000 3.2810 3.2810 3.2810 0.0000 3.2810 3.2810 3.2810 0.0000" Properties=species:S:1:pos:R:3 pbc="T T T"
Zn 0.0000 0.0000 0.0000
Cd 3.2810 3.2810 3.2810
Ta 1.6405 1.6405 1.6405
Ta 4.9215 4.9215 4.9215
```

Results
D(E_F) ... 4.2 states/eV per cell
Total DFT energy (no corrections) ... -5.983 eV per atom
Magnetization ... 0.0 μB/f.u.

(10)
DFT (PBE) results for a relaxed TaZnCd2 crystal.

```
4
Lattice="2.9077 0.0000 0.0000 0.0000 4.3736 0.0000 0.0000 0.0000 5.9571" Properties=species:S:1:pos:R:3 pbc="T T T"
Cd 0.0000 0.0000 0.0003
Cd 0.0000 0.0000 2.9782
Ta 1.4539 2.1868 1.4893
Zn 1.4539 2.1868 4.4678
```

Results
D(E_F) ... 2.5 states/eV per cell
Total DFT energy (no corrections) ... -3.402 eV per atom
Magnetization ... 0.0 μB/f.u.

(11)
DFT (PBE) results for a relaxed Ta2ZnCd crystal.

```
4
Lattice="-3.2036 0.4617 -4.1305 -1.2251 -4.5292 -2.3501 -0.0280 1.7633 4.9424" Properties=species:S:1:pos:R:3 pbc="T T T"
Cd -1.7337 -2.3999 -0.3240
Ta -4.4276 -4.0665 -6.4789
Ta -2.2155 -2.0348 -3.2420
Zn -2.7230 0.0956 -1.2142
```

Results
D(E_F) ... 2.9 states/eV per cell
Total DFT energy (no corrections) ... -6.268 eV per atom
Magnetization ... 0.0 μB/f.u.

(12)
DFT (PBE) results for a relaxed TaZn2Cd crystal.

```
4
Lattice="-3.9035 -2.2906 1.4717 -1.3079 -2.1021 -4.0646 4.3067 -0.2433 2.0109" Properties=species:S:1:pos:R:3 pbc="T T T"
Cd 0.1965 -2.2709 -1.6751
Ta -1.1013 -2.3651 1.0930
Zn 0.0000 0.0000 0.0000
Zn -2.6057 -2.1964 -1.2964
```

Results
D(E_F) ... 3.1 states/eV per cell
Total DFT energy (no corrections) ... -3.468 eV per atom
Magnetization ... 0.2 μB/f.u.